No. 1
TaOs2Ru PBE relaxed; ΔE_f = -0.07 eV per atom; DFT total energy = -10.963 eV per atom; Fermi-level density of states = 0.893 states/eV/atom; crystal system = monoclinic; total magnetization = 0.0 Bohr magnetons per cell
1.0
4.790 -0.002 0.002
3.974 2.674 0.002
0.798 0.243 4.741
Ru Ta Os
1 1 2
direct
0.495 0.495 0.512 Ru
0.251 0.251 0.255 Ta
0.749 0.749 0.758 Os
0.005 0.005 0.975 Os


No. 2
Ac2ZnPt3 PBE relaxed; ΔE_f = -0.99 eV per atom; DFT total energy = -5.589 eV per atom; Fermi-level density of states = 0.499 states/eV/atom; crystal system = orthorhombic; total magnetization = 0.0 Bohr magnetons per cell
1.0
4.144 0.000 -1.103
-0.309 4.087 -1.162
0.096 0.259 8.697
Pt Zn Ac
3 1 2
direct
0.304 0.804 0.608 Pt
0.703 0.703 0.406 Pt
0.539 0.539 0.078 Pt
0.458 0.958 0.916 Zn
0.867 0.367 0.734 Ac
0.129 0.129 0.258 Ac


No. 3
SrTaMn2C PBE relaxed; ΔE_f = 0.79 eV per atom; DFT total energy = -7.433 eV per atom; Fermi-level density of states = 1.326 states/eV/atom; crystal system = tetragonal; total magnetization = 0.0 Bohr magnetons per cell
1.0
4.141 0.000 0.000
0.000 4.358 0.000
0.000 0.000 4.141
Mn C Ta Sr
2 1 1 1
direct
0.000 0.000 0.500 Mn
0.500 0.000 0.000 Mn
0.000 0.000 0.000 C
0.000 0.500 0.000 Ta
0.500 0.500 0.500 Sr


No. 4
LiSc2As2 PBE relaxed; ΔE_f = -0.77 eV per atom; DFT total energy = -5.550 eV per atom; Fermi-level density of states = 0.614 states/eV/atom; crystal system = tetragonal; total magnetization = 1.5 Bohr magnetons per cell
1.0
7.569 0.000 0.000
0.000 7.569 0.000
0.000 0.000 3.465
As Sc Li
4 4 2
direct
0.165 0.665 0.500 As
0.835 0.335 0.500 As
0.665 0.835 0.500 As
0.335 0.165 0.500 As
0.361 0.861 0.000 Sc
0.639 0.139 0.000 Sc
0.139 0.361 0.000 Sc
0.861 0.639 0.000 Sc
0.000 0.000 0.000 Li
0.500 0.500 0.000 Li


No. 5
Dy2AlNi PBE relaxed; ΔE_f = -0.32 eV per atom; DFT total energy = -4.998 eV per atom; Fermi-level density of states = 0.889 states/eV/atom; crystal system = cubic; total magnetization = 0.0 Bohr magnetons per cell
1.0
4.970 0.000 0.000
2.485 4.304 0.000
2.485 1.435 4.058
Dy Ni Al
2 1 1
direct
0.250 0.250 0.250 Dy
0.750 0.750 0.750 Dy
0.500 0.500 0.500 Ni
0.000 0.000 0.000 Al


No. 6
POsPd2I PBE relaxed; energy relative to the elements, uncorrected = 1.197 eV per atom; DFT total energy = -4.518 eV per atom; Fermi-level density of states = 1.104 states/eV/atom; crystal system = tetragonal; total magnetization = 1.9 Bohr magnetons per cell
1.0
-2.051 -1.327 -3.660
2.993 -4.489 -0.050
-3.033 -2.049 2.443
Pd P I Os
2 1 1 1
direct
0.500 0.000 0.000 Pd
0.000 0.000 0.500 Pd
0.000 0.000 0.000 P
0.000 0.500 0.000 I
0.500 0.500 0.500 Os


No. 7
BaHg2Ir PBE relaxed; ΔE_f = 0.01 eV per atom; DFT total energy = -2.842 eV per atom; Fermi-level density of states = 0.431 states/eV/atom; crystal system = monoclinic; total magnetization = 0.0 Bohr magnetons per cell
1.0
4.665 0.000 0.000
0.000 4.643 -0.991
0.000 1.203 5.521
Ir Hg Ba
1 2 1
direct
0.000 0.250 0.520 Ir
0.000 0.249 0.990 Hg
0.500 0.252 0.282 Hg
0.500 0.750 0.709 Ba


No. 8
PmZnNiPt PBE relaxed; ΔE_f = -0.47 eV per atom; DFT total energy = -4.933 eV per atom; Fermi-level density of states = 0.734 states/eV/atom; crystal system = cubic; total magnetization = 0.0 Bohr magnetons per cell
1.0
4.683 0.000 0.000
2.342 4.056 0.000
2.342 1.352 3.824
Ni Pt Zn Pm
1 1 1 1
direct
0.250 0.250 0.250 Ni
0.750 0.750 0.750 Pt
0.500 0.500 0.500 Zn
0.000 0.000 0.000 Pm